Entry 1:
CaFe2Hg meta-GGA SCAN PBEsol geometry; E_tot = -28.114 eV per atom; E_form = 0.41 eV/atom
1.0
3.441 0.000 0.000
0.000 3.550 0.000
0.000 0.000 6.201
Ca Fe Hg
1 2 1
Direct
0.000 0.000 0.000
0.500 0.500 0.323
0.500 0.500 0.677
0.000 0.000 0.500


Entry 2:
Li2ZnPt meta-GGA SCAN PBEsol geometry; E_tot = -22.679 eV per atom; E_form = -0.56 eV/atom
1.0
3.696 0.000 0.000
0.000 3.696 0.000
0.000 0.000 7.798
Li Zn Pt
4 2 2
Direct
0.000 0.500 0.250
0.000 0.500 0.750
0.500 0.000 0.250
0.500 0.000 0.750
0.000 0.000 0.000
0.500 0.500 0.500
0.000 0.000 0.500
0.500 0.500 0.000


Entry 3:
RbMgAs2Br meta-GGA SCAN PBEsol geometry; E_tot = -16.137 eV per atom; raw formation energy = 4.9 eV per formula unit
1.0
5.638 0.000 0.000
0.000 5.638 0.000
0.000 0.000 5.835
Rb Mg As Br
1 1 2 1
Direct
0.000 0.000 0.000
0.500 0.500 0.500
0.000 0.500 0.000
0.500 0.000 0.000
0.000 0.000 0.500


Entry 4:
YMgMn2 meta-GGA SCAN PBEsol geometry; E_tot = -17.251 eV per atom; E_form = 0.08 eV/atom
1.0
4.739 0.000 0.000
0.000 4.739 0.000
0.000 0.000 3.245
Y Mg Mn
1 1 2
Direct
0.000 0.000 0.000
0.500 0.500 0.000
0.000 0.500 0.500
0.500 0.000 0.500


Entry 5:
Ba2RuCl meta-GGA SCAN PBEsol geometry; E_tot = -31.013 eV per atom; E above lowest polymorph = 0.0000 eV per atom; raw formation energy = -2.1 eV per formula unit
1.0
7.861 0.000 0.000
0.000 7.785 0.000
-0.616 0.000 3.480
Ba Ru Cl
4 2 2
Direct
0.250 0.250 0.000
0.250 0.750 0.000
0.750 0.250 0.000
0.750 0.750 0.000
0.000 0.000 0.500
0.500 0.500 0.500
0.000 0.500 0.500
0.500 0.000 0.500


Entry 6:
YZrTe meta-GGA SCAN PBEsol geometry; E_tot = -32.341 eV per atom; E above lowest polymorph = 0.0000 eV per atom; raw formation energy = -1.2 eV per formula unit
1.0
6.832 0.000 0.000
0.000 6.832 0.000
0.000 0.000 6.832
Y Zr Te
4 4 4
Direct
0.000 0.000 0.000
0.000 0.500 0.500
0.500 0.000 0.500
0.500 0.500 0.000
0.000 0.000 0.500
0.000 0.500 0.000
0.500 0.000 0.000
0.500 0.500 0.500
0.250 0.250 0.250
0.250 0.750 0.750
0.750 0.250 0.750
0.750 0.750 0.250